The following is a DFT calculation (PBE) of a geometry-optimized VTcRh2 structure.

Lattice parameters (Å, degrees): 2.7269 2.7269 26.1756 90.00 90.00 120.00
Last column: nearest neighbours and their distance in Å.
Space group R3m (No. 160, hexagonal axes)
Symmetry-distinct sites (fractional):
V: 0.0000 0.0000 0.0000 [3 per cell]  6 Rh 2.65-2.66, 6 V 2.73
Tc: 0.0000 0.0000 0.1652 [3 per cell]  6 Rh 2.69-2.76, 6 Tc 2.73
Rh: 0.0000 0.0000 0.4153 [3 per cell]  3 V 2.66, 3 Tc 2.69, 6 Rh 2.73
Rh: 0.0000 0.0000 0.5851 [3 per cell]  3 V 2.65, 6 Rh 2.73, 3 Tc 2.76

Its energy above the most stable polymorph in this dataset is 0.110 eV/atom.

=====

The following is a DFT calculation (PBE) of a geometry-optimized YPb structure.

Lattice parameters (Å, degrees): 4.5318 4.5318 11.1096 90.00 90.00 90.00
Last column: nearest neighbours and their distance in Å.
Space group I4_1/amd (No. 141, origin choice 2)
Symmetry-distinct sites (fractional):
Y: 0.0000 0.2500 0.3750 [4 per cell]  8 Pb 3.20-3.58, 4 Y 3.58
Pb: 0.0000 0.2500 0.8750 [4 per cell]  8 Y 3.20-3.58, 4 Pb 3.58

The total DFT energy (no corrections) is -0.2065 hartree per atom.

=====

> Number 1 is which compound?

VTcRh2

=====

What did the second record say?
The following is a DFT calculation (PBE) of a geometry-optimized YPb structure.

Lattice parameters (Å, degrees): 4.5318 4.5318 11.1096 90.00 90.00 90.00
Last column: nearest neighbours and their distance in Å.
Space group I4_1/amd (No. 141, origin choice 2)
Symmetry-distinct sites (fractional):
Y: 0.0000 0.2500 0.3750 [4 per cell]  8 Pb 3.20-3.58, 4 Y 3.58
Pb: 0.0000 0.2500 0.8750 [4 per cell]  8 Y 3.20-3.58, 4 Pb 3.58

The total DFT energy (no corrections) is -0.2065 hartree per atom.

=====

> Which formula does entry 2 have?

YPb